SiNi3Rh | Alexandria | PBE | relaxed; relative energy among the computed polymorphs = 0 meV per atom; raw formation energy = 0.554 eV/atom
1.0
4.1365 0.0000 0.0000
0.0000 4.1365 0.0000
0.0000 0.0000 4.1365
Si Ni Rh
1 3 1
Cartesian
0.0000 0.0000 0.0000
0.0000 0.0000 2.0683
0.0000 2.0683 0.0000
2.0683 0.0000 0.0000
2.0683 2.0683 2.0683